No. 1
! LiScZn2 PBEsol optimized geometry; values from VASP
&SYSTEM
  ibrav = 0, nat = 4, ntyp = 3
/
ATOMIC_SPECIES
Li 6.94 Li.upf
Sc 44.96 Sc.upf
Zn 65.41 Zn.upf
CELL_PARAMETERS angstrom
5.0782 -1.5123 0.0000
5.0782 1.5123 0.0000
-1.7520 0.0000 4.4216
ATOMIC_POSITIONS angstrom
Li 0.0000 0.0000 0.0000
Sc 0.9469 0.0000 2.9768
Zn 3.8155 0.0000 2.0468
Zn 7.2383 0.0000 0.8529
! ΔH_f (0 K)	-153.3	meV per atom
! VASP energy	-3.087	eV/atom

No. 2
! LiScZn2 PBEsol optimized geometry; values from VASP
&SYSTEM
  ibrav = 0, nat = 4, ntyp = 3
/
ATOMIC_SPECIES
Li 6.94 Li.upf
Sc 44.96 Sc.upf
Zn 65.41 Zn.upf
CELL_PARAMETERS angstrom
0.0000 3.1176 3.1176
3.1176 0.0000 3.1176
3.1176 3.1176 0.0000
ATOMIC_POSITIONS angstrom
Li 0.0000 0.0000 0.0000
Sc 4.6763 4.6763 4.6763
Zn 1.5588 1.5588 1.5588
Zn 3.1176 3.1176 3.1176
! ΔH_f (0 K)	-275.2	meV per atom
! VASP energy	-3.209	eV/atom

No. 3
! Li2ScZn2 PBEsol optimized geometry; values from VASP
&SYSTEM
  ibrav = 0, nat = 10, ntyp = 3
/
ATOMIC_SPECIES
Li 6.94 Li.upf
Sc 44.96 Sc.upf
Zn 65.41 Zn.upf
CELL_PARAMETERS angstrom
7.4568 0.0000 0.0000
0.0000 7.4568 0.0000
0.0000 0.0000 2.8050
ATOMIC_POSITIONS angstrom
Li 0.8742 2.8542 0.0000
Li 2.8542 6.5827 0.0000
Li 4.6026 0.8742 0.0000
Li 6.5827 4.6026 0.0000
Sc 0.0000 0.0000 0.0000
Sc 3.7284 3.7284 0.0000
Zn 1.3647 5.0931 1.4025
Zn 2.3637 1.3647 1.4025
Zn 5.0931 6.0921 1.4025
Zn 6.0921 2.3637 1.4025
! ΔH_f (0 K)	-120.9	meV per atom
! VASP energy	-2.861	eV/atom